Material: LiCaIn2
Method: DFT, GGA-PBE
State: relaxed

## Properties
The value obtained for the energy of formation from the pure elements is -0.19 eV per atom. The total magnetization is 0.000 μB/atom. The density of states at the Fermi level is 1.96 states/eV/f.u.

Unit cell a=9.954 b=9.954 c=9.954 alpha=20.44 beta=20.44 gamma=20.44
Sites, in units of the cell vectors:
Ca 0.750 0.750 0.750
Li 0.250 0.250 0.250
In 0.507 0.507 0.507
In 0.993 0.993 0.993